Compound: InCu4As
Source: Alexandria
Functional: PBE
Structure: optimized geometry

abc: 7.109 7.109 7.109
angles: 90.00 90.00 90.00
Space group F-43m (No. 216)
Symmetry-distinct sites (fractional):
In 0.000 0.000 0.000
Cu 0.125 0.125 0.375
As 0.250 0.250 0.750

Results
DOS at the Fermi energy: 11.173 states/eV/cell
Crystal system: cubic
E_form: 0.46 eV per formula unit